First-principles (PBE) data for a geometry-optimized Sc2ReMo structure, as listed in the Alexandria database.

**Calculated total energy**: -36.30 eV for the cell shown
**DOS at the Fermi energy**: 2.50 states/eV/cell
**Energy of formation**: -0.09 eV/atom
**Relative energy among the computed polymorphs**: 0.0 meV/atom
**Crystal system**: tetragonal

Cell lengths 3.171, 3.171, 7.597 Å; angles 90.00, 90.00, 90.00 degrees
Sites, in units of the cell vectors:
1 Sc 0.000 0.000 0.951
2 Sc 0.500 0.500 0.295
3 Re 0.500 0.500 0.722
4 Mo 0.000 0.000 0.531